# Ho3HgAu2 PBE-GGA optimized geometry
data_Ho3HgAu2
_chemical_formula_sum 'Ho3 Hg1 Au2'
_symmetry_space_group_name_H-M 'P 1'
_symmetry_Int_Tables_number 1
_cell_length_a 3.639
_cell_length_b 3.639
_cell_length_c 10.790
_cell_angle_alpha 90.00
_cell_angle_beta 90.00
_cell_angle_gamma 90.00
loop_
_symmetry_equiv_pos_as_xyz
'x,y,z'
loop_
_atom_site_label
_atom_site_type_symbol
_atom_site_fract_x
_atom_site_fract_y
_atom_site_fract_z
_atom_site_occupancy
Ho1 Ho 0.000 0.000 0.675 1
Ho2 Ho 0.000 0.000 0.000 1
Ho3 Ho 0.000 0.000 0.325 1
Hg1 Hg 0.500 0.500 0.500 1
Au1 Au 0.500 0.500 0.834 1
Au2 Au 0.500 0.500 0.166 1
# - size of the total moment (μB per formula unit) = 0.00
# - total energy (eV per atom) = -4.17
# - E_form (kJ/mol of formula units) = -429